Version P
VASP calculation (PBE) on crystalline H4PdRh at its relaxed geometry.

Geometry as POSCAR:
```
H4PdRh
1.0
5.668 2.557 -2.561
1.049 5.708 -2.635
-1.045 -1.413 4.521
H Pd Rh
8 2 2
Direct
0.978 0.248 0.135
0.450 0.760 0.093
0.271 0.519 0.407
0.729 0.481 0.593
0.215 0.011 0.635
0.550 0.240 0.907
0.785 0.989 0.365
0.022 0.752 0.865
0.374 0.627 0.250
0.626 0.373 0.750
0.119 0.881 0.750
0.881 0.119 0.250
```

symmetry: P-1, No. 2
DOS(E_F): 4.9 states/eV per cell



Version Q
VASP calculation (PBE) on crystalline H4PdRh at its relaxed geometry.

Geometry as POSCAR:
```
H4PdRh
1.0
-0.882 -4.161 2.545
4.861 0.331 -0.908
-1.481 3.924 2.642
H Pd Rh
8 2 2
Direct
0.244 0.936 0.693
0.757 0.442 0.685
0.686 0.494 0.193
0.192 0.007 0.185
0.301 0.494 0.807
0.821 0.007 0.815
0.757 0.071 0.315
0.244 0.551 0.307
0.753 0.753 0.000
0.503 0.003 0.500
0.247 0.247 0.000
0.997 0.497 0.500
```

symmetry: I4_1md, No. 109
DOS(E_F): 6.0 states/eV per cell



Most stable structure - version Q; separation to the second - 1.4 kJ/mol of atoms.



Version P
VASP calculation (PBE) on crystalline HPd2RuRh at its relaxed geometry.

Geometry as POSCAR:
```
HPd2RuRh
1.0
3.949 0.000 0.000
0.000 3.949 0.000
0.000 0.000 3.932
Ru Rh Pd H
1 1 2 1
Direct
0.500 0.500 0.500
0.000 0.000 0.500
0.000 0.500 0.000
0.500 0.000 0.000
0.000 0.000 0.000
```

symmetry: P4/mmm, No. 123
DOS(E_F): 6.4 states/eV per cell



Version Q
VASP calculation (PBE) on crystalline HPd2RuRh at its relaxed geometry.

Geometry as POSCAR:
```
HPd2RuRh
1.0
-3.817 -0.307 1.019
-0.172 -3.565 -1.720
1.033 -1.674 3.366
Ru Rh Pd H
1 1 2 1
Direct
0.000 0.000 0.500
0.500 0.500 0.500
0.000 0.500 0.000
0.500 0.000 0.000
0.000 0.000 0.000
```

symmetry: P4/mmm, No. 123
DOS(E_F): 5.1 states/eV per cell



Most stable structure - version Q; separation to the second - 2.2 kJ/mol of atoms.



Version P
VASP calculation (PBE) on crystalline ScHPd2Rh at its relaxed geometry.

Geometry as POSCAR:
```
ScHPd2Rh
1.0
-2.136 0.407 3.381
1.349 -3.563 1.281
3.146 1.826 1.768
Sc H Rh Pd
1 1 1 2
Direct
0.500 0.500 0.500
0.000 0.000 0.000
0.000 0.000 0.500
0.000 0.500 0.000
0.500 0.000 0.000
```

symmetry: P4/mmm, No. 123
DOS(E_F): 4.7 states/eV per cell



Version Q
VASP calculation (PBE) on crystalline ScHPd2Rh at its relaxed geometry.

Geometry as POSCAR:
```
ScHPd2Rh
1.0
3.915 0.000 0.000
0.000 3.915 0.000
0.000 0.000 4.277
Sc H Rh Pd
1 1 1 2
Direct
0.000 0.000 0.500
0.000 0.000 0.000
0.500 0.500 0.500
0.000 0.500 0.000
0.500 0.000 0.000
```

symmetry: P4/mmm, No. 123
DOS(E_F): 5.1 states/eV per cell



Most stable structure - version P; separation to the second - 7.8 kJ/mol of atoms.